# Sr2CrCN PBE-GGA relaxed
data_Sr2CrCN
_chemical_formula_sum 'Sr2 Cr1 C1 N1'
_cell_length_a 5.220
_cell_length_b 5.220
_cell_length_c 3.757
_cell_angle_alpha 90.00
_cell_angle_beta 90.00
_cell_angle_gamma 90.00
_symmetry_space_group_name_H-M 'P 4/m m m'
_symmetry_Int_Tables_number 123
_symmetry_space_group_name_Hall '-P 4 2'
loop_
_atom_site_label
_atom_site_type_symbol
_atom_site_fract_x
_atom_site_fract_y
_atom_site_fract_z
_atom_site_occupancy
Sr1 Sr 0.000 0.500 0.000 1
Cr1 Cr 0.000 0.000 0.500 1
C1 C 0.500 0.500 0.500 1
N1 N 0.000 0.000 0.000 1
# crystal system: tetragonal
# raw formation energy: 430.4 meV per atom


# SmMg2Pd PBE-GGA relaxed
data_SmMg2Pd
_chemical_formula_sum 'Sm4 Mg8 Pd4'
_cell_length_a 6.968
_cell_length_b 6.968
_cell_length_c 6.968
_cell_angle_alpha 90.00
_cell_angle_beta 90.00
_cell_angle_gamma 90.00
_symmetry_space_group_name_H-M 'F m -3 m'
_symmetry_Int_Tables_number 225
_symmetry_space_group_name_Hall '-F 4 2 3'
loop_
_atom_site_label
_atom_site_type_symbol
_atom_site_fract_x
_atom_site_fract_y
_atom_site_fract_z
_atom_site_occupancy
Sm1 Sm 0.000 0.000 0.000 1
Mg1 Mg 0.250 0.250 0.250 1
Pd1 Pd 0.000 0.000 0.500 1
# crystal system: cubic
# formation energy: -1.07 eV per formula unit


# Ho2Cd7 PBE-GGA relaxed
data_Ho2Cd7
_chemical_formula_sum 'Ho2 Cd7'
_cell_length_a 5.0464
_cell_length_b 5.0464
_cell_length_c 9.4642
_cell_angle_alpha 90.00
_cell_angle_beta 90.00
_cell_angle_gamma 120.00
_symmetry_space_group_name_H-M 'P -3 m 1'
_symmetry_Int_Tables_number 164
_symmetry_space_group_name_Hall '-P 3 2"'
loop_
_atom_site_label
_atom_site_type_symbol
_atom_site_fract_x
_atom_site_fract_y
_atom_site_fract_z
_atom_site_occupancy
Ho1 Ho 0.3333 0.6667 0.2836 1
Cd1 Cd 0.0000 0.0000 0.1599 1
Cd2 Cd 0.0000 0.0000 0.5000 1
Cd3 Cd 0.3333 0.6667 0.6084 1
Cd4 Cd 0.3333 0.6667 0.9338 1
# crystal system: trigonal
# formation energy: -1.75 eV per formula unit


# Dy2Er2Tl PBE-GGA relaxed
data_Dy2Er2Tl
_chemical_formula_sum 'Dy4 Er4 Tl2'
_cell_length_a 8.142
_cell_length_b 8.142
_cell_length_c 4.661
_cell_angle_alpha 90.00
_cell_angle_beta 90.00
_cell_angle_gamma 90.00
_symmetry_space_group_name_H-M 'P 4/m b m'
_symmetry_Int_Tables_number 127
_symmetry_space_group_name_Hall '-P 4 2ab'
loop_
_atom_site_label
_atom_site_type_symbol
_atom_site_fract_x
_atom_site_fract_y
_atom_site_fract_z
_atom_site_occupancy
Dy1 Dy 0.149 0.351 0.000 1
Er1 Er 0.150 0.650 0.500 1
Tl1 Tl 0.000 0.000 0.000 1
# crystal system: tetragonal
# formation energy: 0.35 eV per formula unit
# excess energy over the best structure of this formula in the dataset: 0.557 eV/f.u.


# LiAgN2O PBE-GGA relaxed
data_LiAgN2O
_chemical_formula_sum 'Li1 Ag1 N2 O1'
_cell_length_a 3.720
_cell_length_b 3.720
_cell_length_c 3.671
_cell_angle_alpha 90.00
_cell_angle_beta 90.00
_cell_angle_gamma 90.00
_symmetry_space_group_name_H-M 'P 4/m m m'
_symmetry_Int_Tables_number 123
_symmetry_space_group_name_Hall '-P 4 2'
loop_
_atom_site_label
_atom_site_type_symbol
_atom_site_fract_x
_atom_site_fract_y
_atom_site_fract_z
_atom_site_occupancy
Li1 Li 0.000 0.000 0.000 1
Ag1 Ag 0.500 0.500 0.500 1
N1 N 0.000 0.500 0.000 1
O1 O 0.000 0.000 0.500 1
# crystal system: tetragonal
# raw formation energy: 1641.6 meV per atom


# HgMoOs PBE-GGA relaxed
data_HgMoOs
_chemical_formula_sum 'Hg4 Mo4 Os4'
_cell_length_a 2.998
_cell_length_b 4.708
_cell_length_c 14.690
_cell_angle_alpha 90.00
_cell_angle_beta 90.00
_cell_angle_gamma 90.00
_symmetry_space_group_name_H-M 'F m m 2'
_symmetry_Int_Tables_number 42
_symmetry_space_group_name_Hall 'F 2 -2'
loop_
_atom_site_label
_atom_site_type_symbol
_atom_site_fract_x
_atom_site_fract_y
_atom_site_fract_z
_atom_site_occupancy
Hg1 Hg 0.000 0.000 0.000 1
Mo1 Mo 0.000 0.000 0.322 1
Os1 Os 0.000 0.000 0.679 1
# crystal system: orthorhombic
# formation energy: 1.83 eV per formula unit
# excess energy over the best structure of this formula in the dataset: 0.676 eV/f.u.


# Mg2TaCuW PBE-GGA relaxed
data_Mg2TaCuW
_chemical_formula_sum 'Mg2 Ta1 Cu1 W1'
_cell_length_a 5.172
_cell_length_b 5.172
_cell_length_c 4.599
_cell_angle_alpha 90.00
_cell_angle_beta 90.00
_cell_angle_gamma 90.00
_symmetry_space_group_name_H-M 'P 4/m m m'
_symmetry_Int_Tables_number 123
_symmetry_space_group_name_Hall '-P 4 2'
loop_
_atom_site_label
_atom_site_type_symbol
_atom_site_fract_x
_atom_site_fract_y
_atom_site_fract_z
_atom_site_occupancy
Mg1 Mg 0.000 0.500 0.000 1
Ta1 Ta 0.000 0.000 0.000 1
Cu1 Cu 0.000 0.000 0.500 1
W1 W 0.500 0.500 0.500 1
# crystal system: tetragonal
# formation energy: 11.14 eV per formula unit


# K2NiOs PBE-GGA relaxed
data_K2NiOs
_chemical_formula_sum 'K4 Ni2 Os2'
_cell_length_a 5.565
_cell_length_b 10.886
_cell_length_c 2.695
_cell_angle_alpha 90.00
_cell_angle_beta 90.00
_cell_angle_gamma 90.00
_symmetry_space_group_name_H-M 'C m m m'
_symmetry_Int_Tables_number 65
_symmetry_space_group_name_Hall '-C 2 2'
loop_
_atom_site_label
_atom_site_type_symbol
_atom_site_fract_x
_atom_site_fract_y
_atom_site_fract_z
_atom_site_occupancy
K1 K 0.250 0.250 0.000 1
Ni1 Ni 0.000 0.000 0.500 1
Os1 Os 0.000 0.500 0.500 1
# crystal system: orthorhombic
# formation energy: 5.19 eV per formula unit
# excess energy over the best structure of this formula in the dataset: 2.408 eV/f.u.


# SmYS3 PBE-GGA relaxed
data_SmYS3
_chemical_formula_sum 'Sm2 Y2 S6'
_cell_length_a 7.820
_cell_length_b 3.940
_cell_length_c 7.841
_cell_angle_alpha 90.00
_cell_angle_beta 94.37
_cell_angle_gamma 90.00
_symmetry_space_group_name_H-M 'P 1 21/m 1'
_symmetry_Int_Tables_number 11
loop_
_symmetry_equiv_pos_as_xyz
'x,y,z'
'-x,-y,-z'
'-x,y+1/2,-z'
'x,-y+1/2,z'
loop_
_atom_site_label
_atom_site_type_symbol
_atom_site_fract_x
_atom_site_fract_y
_atom_site_fract_z
_atom_site_occupancy
Sm1 Sm 0.231 0.250 0.380 1
Y1 Y 0.320 0.250 0.854 1
S1 S 0.020 0.250 0.679 1
S2 S 0.320 0.750 0.101 1
S3 S 0.387 0.750 0.624 1
# crystal system: monoclinic
# raw formation energy: -2051.7 meV per atom


# NaTh2PaAs4 PBE-GGA relaxed
data_NaTh2PaAs4
_chemical_formula_sum 'Na1 Th2 Pa1 As4'
_cell_length_a 7.259
_cell_length_b 4.229
_cell_length_c 7.266
_cell_angle_alpha 90.00
_cell_angle_beta 109.27
_cell_angle_gamma 90.00
_symmetry_space_group_name_H-M 'P 1 2/m 1'
_symmetry_Int_Tables_number 10
loop_
_symmetry_equiv_pos_as_xyz
'x,y,z'
'-x,-y,-z'
'-x,y,-z'
'x,-y,z'
loop_
_atom_site_label
_atom_site_type_symbol
_atom_site_fract_x
_atom_site_fract_y
_atom_site_fract_z
_atom_site_occupancy
Na1 Na 0.000 0.000 0.000 1
Th1 Th 0.500 0.000 0.500 1
Th2 Th 0.500 0.500 0.000 1
Pa1 Pa 0.000 0.500 0.500 1
As1 As 0.239 0.000 0.743 1
As2 As 0.247 0.500 0.259 1
# crystal system: monoclinic
# formation energy: -8.53 eV per formula unit


# SmTm2ScP4 PBE-GGA relaxed
data_SmTm2ScP4
_chemical_formula_sum 'Sm1 Tm2 Sc1 P4'
_cell_length_a 6.829
_cell_length_b 3.950
_cell_length_c 6.837
_cell_angle_alpha 90.00
_cell_angle_beta 109.46
_cell_angle_gamma 90.00
_symmetry_space_group_name_H-M 'P 1 2/m 1'
_symmetry_Int_Tables_number 10
loop_
_symmetry_equiv_pos_as_xyz
'x,y,z'
'-x,-y,-z'
'-x,y,-z'
'x,-y,z'
loop_
_atom_site_label
_atom_site_type_symbol
_atom_site_fract_x
_atom_site_fract_y
_atom_site_fract_z
_atom_site_occupancy
Sm1 Sm 0.000 0.000 0.000 1
Tm1 Tm 0.000 0.500 0.500 1
Tm2 Tm 0.500 0.000 0.500 1
Sc1 Sc 0.500 0.500 0.000 1
P1 P 0.260 0.000 0.754 1
P2 P 0.260 0.500 0.253 1
# crystal system: monoclinic
# formation energy: -12.30 eV per formula unit


# GdThIn2 PBE-GGA relaxed
data_GdThIn2
_chemical_formula_sum 'Gd4 Th4 In8'
_cell_length_a 7.689
_cell_length_b 7.689
_cell_length_c 7.689
_cell_angle_alpha 90.00
_cell_angle_beta 90.00
_cell_angle_gamma 90.00
_symmetry_space_group_name_H-M 'F m -3 m'
_symmetry_Int_Tables_number 225
_symmetry_space_group_name_Hall '-F 4 2 3'
loop_
_atom_site_label
_atom_site_type_symbol
_atom_site_fract_x
_atom_site_fract_y
_atom_site_fract_z
_atom_site_occupancy
Gd1 Gd 0.000 0.000 0.000 1
Th1 Th 0.000 0.000 0.500 1
In1 In 0.250 0.250 0.250 1
# crystal system: cubic
# formation energy: -1.28 eV per formula unit
# excess energy over the best structure of this formula in the dataset: 0.283 eV/f.u.